! ZnSbMo2 PBE optimized geometry; values from VASP
&SYSTEM
  ibrav = 0, nat = 4, ntyp = 3
/
ATOMIC_SPECIES
Mo 95.94 Mo.upf
Sb 121.76 Sb.upf
Zn 65.41 Zn.upf
CELL_PARAMETERS angstrom
-3.5348 -0.6559 2.7454
-0.3968 -4.2406 -1.5241
2.0136 -1.0316 2.3462
ATOMIC_POSITIONS crystal
Mo 0.0000 0.0000 0.0000
Mo 0.5000 0.5000 0.0000
Sb 0.5000 0.0000 0.5000
Zn 0.0000 0.5000 0.5000
! Polymorph energy (0 for the lowest one) ... 280 meV per atom
! Energy relative to the elements, uncorrected ... 0.40 eV/atom


! CsSiIrSe2 PBE optimized geometry; values from VASP
&SYSTEM
  ibrav = 0, nat = 5, ntyp = 4
/
ATOMIC_SPECIES
Cs 132.91 Cs.upf
Si 28.09 Si.upf
Ir 192.22 Ir.upf
Se 78.96 Se.upf
CELL_PARAMETERS angstrom
5.3980 0.0000 0.0000
0.0000 4.5736 0.0000
0.0000 0.0000 5.3980
ATOMIC_POSITIONS crystal
Cs 0.5000 0.5000 0.5000
Si 0.0000 0.5000 0.0000
Ir 0.0000 0.0000 0.0000
Se 0.0000 0.0000 0.5000
Se 0.5000 0.0000 0.0000
! Energy relative to the elements, uncorrected ... 0.03 eV/atom


> Among the records above, which one has the highest energy relative to the elements, uncorrected?

ZnSbMo2


> Among the records above, which one has the highest energy relative to the elements, uncorrected?

ZnSbMo2


> Which formula does entry 2 have?

CsSiIrSe2


> What is the formula in the first record?

ZnSbMo2